1.
! Er3Tl2In4, relaxed, DFT GGA-PBE; values from VASP
&SYSTEM
  ibrav = 0, nat = 9, ntyp = 3
/
ATOMIC_SPECIES
Er 167.26 Er.upf
In 114.82 In.upf
Tl 204.38 Tl.upf
CELL_PARAMETERS angstrom
4.359 0.000 0.000
0.000 7.907 0.000
0.000 -3.954 6.848
ATOMIC_POSITIONS crystal
Er 0.500 0.000 0.395
Er 0.500 0.605 0.605
Er 0.500 0.395 0.000
In 0.000 0.000 0.740
In 0.000 0.260 0.260
In 0.500 0.000 0.000
In 0.000 0.740 0.000
Tl 0.000 0.667 0.333
Tl 0.000 0.333 0.667
! calculated formation energy = -0.229 eV per atom
! space-group type = P-62m

=====

2.
! SrAgB2Au, relaxed, DFT GGA-PBE; values from VASP
&SYSTEM
  ibrav = 0, nat = 5, ntyp = 4
/
ATOMIC_SPECIES
Au 196.97 Au.upf
Sr 87.62 Sr.upf
B 10.81 B.upf
Ag 107.87 Ag.upf
CELL_PARAMETERS angstrom
5.032 0.000 0.000
0.000 5.675 0.000
0.000 0.000 5.032
ATOMIC_POSITIONS crystal
Au 0.000 0.500 0.000
Sr 0.000 0.000 0.000
B 0.500 0.000 0.000
B 0.000 0.000 0.500
Ag 0.500 0.500 0.500
! calculated formation energy = 2.152 eV per atom
! space-group type = P4/mmm

=====

3.
! KCuAs, relaxed, DFT GGA-PBE; values from VASP
&SYSTEM
  ibrav = 0, nat = 3, ntyp = 3
/
ATOMIC_SPECIES
As 74.92 As.upf
Cu 63.55 Cu.upf
K 39.10 K.upf
CELL_PARAMETERS angstrom
-4.053 -0.459 -2.277
-3.193 -3.058 1.508
-3.960 1.529 1.950
ATOMIC_POSITIONS crystal
As 0.500 0.500 0.500
Cu 0.250 0.250 0.250
K 0.000 0.000 0.000
! calculated formation energy = 0.285 eV per atom
! space-group type = F-43m

=====

4.
! Tb4H2Pb5, relaxed, DFT GGA-PBE; values from VASP
&SYSTEM
  ibrav = 0, nat = 11, ntyp = 3
/
ATOMIC_SPECIES
Tb 158.93 Tb.upf
Pb 207.20 Pb.upf
H 1.01 H.upf
CELL_PARAMETERS angstrom
-0.957 -3.176 1.484
5.561 -4.055 -5.093
6.614 2.993 6.222
ATOMIC_POSITIONS crystal
Tb 0.958 0.286 0.915
Tb 0.289 0.321 0.578
Tb 0.711 0.679 0.422
Tb 0.042 0.714 0.085
Pb 0.875 0.608 0.750
Pb 0.500 0.000 0.000
Pb 0.173 0.011 0.346
Pb 0.827 0.989 0.654
Pb 0.125 0.392 0.250
H 0.598 0.689 0.196
H 0.402 0.311 0.804
! space-group type = C2/m
! E = -4.284 eV/atom

=====

5.
! HfZnSbO6, relaxed, DFT GGA-PBE; values from VASP
&SYSTEM
  ibrav = 0, nat = 18, ntyp = 4
/
ATOMIC_SPECIES
O 16.00 O.upf
Sb 121.76 Sb.upf
Zn 65.41 Zn.upf
Hf 178.49 Hf.upf
CELL_PARAMETERS angstrom
-0.258 -5.351 -0.552
4.364 2.274 2.187
-3.677 -0.649 8.013
ATOMIC_POSITIONS crystal
O 0.011 0.352 0.130
O 0.341 0.989 0.130
O 0.989 0.341 0.630
O 0.352 0.341 0.870
O 0.011 0.659 0.370
O 0.352 0.011 0.630
O 0.648 0.989 0.370
O 0.659 0.648 0.630
O 0.659 0.011 0.870
O 0.341 0.352 0.370
O 0.648 0.659 0.130
O 0.989 0.648 0.870
Sb 0.667 0.333 0.750
Sb 0.333 0.667 0.250
Zn 0.000 0.000 0.500
Zn 0.000 0.000 0.000
Hf 0.667 0.333 0.250
Hf 0.333 0.667 0.750
! ΔE_f (raw) = -1.8076 eV per atom
! space-group type = P-31c

=====

6.
! Pr3TeP2Rh9, relaxed, DFT GGA-PBE; values from VASP
&SYSTEM
  ibrav = 0, nat = 15, ntyp = 4
/
ATOMIC_SPECIES
Pr 140.91 Pr.upf
Rh 102.91 Rh.upf
Te 127.60 Te.upf
P 30.97 P.upf
CELL_PARAMETERS angstrom
6.124 0.000 0.000
-3.062 5.303 0.000
0.000 0.000 9.176
ATOMIC_POSITIONS crystal
Pr 0.333 0.667 0.692
Pr 0.667 0.333 0.308
Pr 0.000 0.000 0.000
Rh 0.000 0.500 0.000
Rh 0.154 0.846 0.278
Rh 0.500 0.500 0.000
Rh 0.154 0.308 0.278
Rh 0.846 0.692 0.722
Rh 0.308 0.154 0.722
Rh 0.692 0.846 0.278
Rh 0.500 0.000 0.000
Rh 0.846 0.154 0.722
Te 0.000 0.000 0.500
P 0.333 0.667 0.158
P 0.667 0.333 0.842
! ΔE_f (raw) = -0.6322 eV per atom
! space-group type = P-3m1

=====

no.,calculated volume (A^3/atom)
1,26.22
2,28.74
3,24.03
4,26.45
5,12.33
6,19.87